(1)
Computed, not measured: an optimized crystal structure of NaHg2Ge2 at the PBE level of DFT.

Computed properties:
The value obtained for the calculated total energy is -2.14 eV per atom. Its space-group type is P4/mbm, No. 127. As for the total magnetic moment: 0.0 μB/cell. As for the formation energy: 0.10 eV/atom. As for the energy above the most stable polymorph in this dataset: 65 meV per atom.

a b c (Å): 7.9859 7.9859 3.7203
angles (deg): 90.00 90.00 90.00
With the nearest neighbours (Å) after each atom.
Fractional positions:
Na1 0.0000 0.0000 0.0000  4 Ge 3.20, 8 Hg 3.47
Na2 0.5000 0.5000 0.0000  4 Ge 3.20, 8 Hg 3.47
Ge1 0.3829 0.8829 0.0000  1 Ge 2.65, 2 Hg 2.93
Ge2 0.8829 0.6171 0.0000  1 Ge 2.65, 2 Hg 2.93
Ge3 0.6171 0.1171 0.0000  1 Ge 2.65, 2 Hg 2.93
Ge4 0.1171 0.3829 0.0000  1 Ge 2.65, 2 Hg 2.93
Hg1 0.1823 0.6823 0.5000  6 Ge 2.93-3.07
Hg2 0.6823 0.8177 0.5000  6 Ge 2.93-3.07
Hg3 0.8177 0.3177 0.5000  6 Ge 2.93-3.07
Hg4 0.3177 0.1823 0.5000  6 Ge 2.93-3.07

=====

(2)
Computed, not measured: an optimized crystal structure of Ca3Ga6GeAu2 at the PBE level of DFT.

Computed properties:
The value obtained for the calculated total energy is -3.25 eV per atom. Its space-group type is P-3m1, No. 164. As for the total magnetic moment: 0.0 μB/cell. As for the formation energy: -0.31 eV/atom.

a b c (Å): 5.4081 5.4081 10.4834
angles (deg): 90.00 90.00 120.00
With the nearest neighbours (Å) after each atom.
Fractional positions:
Ca1 0.3333 0.6667 0.5749  6 Ga 3.17, 3 Ge 3.22, 3 Ca 3.50
Ca2 0.6667 0.3333 0.4251  6 Ga 3.17, 3 Ge 3.22, 3 Ca 3.50
Ca3 0.0000 0.0000 0.0000  6 Au 3.16, 6 Ga 3.21
Ga1 0.6670 0.8335 0.2677  4 Ga 2.70-2.71, 1 Au 2.79, 1 Ge 2.89
Ga2 0.1665 0.3330 0.2677  4 Ga 2.70-2.71, 1 Au 2.79, 1 Ge 2.89
Ga3 0.1665 0.8335 0.2677  4 Ga 2.70-2.71, 1 Au 2.79, 1 Ge 2.89
Ga4 0.8335 0.6670 0.7323  4 Ga 2.70-2.71, 1 Au 2.79, 1 Ge 2.89
Ga5 0.3330 0.1665 0.7323  4 Ga 2.70-2.71, 1 Au 2.79, 1 Ge 2.89
Ga6 0.8335 0.1665 0.7323  4 Ga 2.70-2.71, 1 Au 2.79, 1 Ge 2.89
Ge1 0.0000 0.0000 0.5000  6 Ga 2.89, 6 Ca 3.22
Au1 0.6667 0.3333 0.9525  3 Ga 2.79
Au2 0.3333 0.6667 0.0475  3 Ga 2.79

=====

(3)
Computed, not measured: an optimized crystal structure of VCuBi3 at the PBE level of DFT.

Computed properties:
The value obtained for the calculated total energy is -4.32 eV per atom. Its space-group type is Pm-3m, No. 221. As for the total magnetic moment: 0.0 μB/cell. As for the formation energy: 0.65 eV/atom. As for the energy above the most stable polymorph in this dataset: 0 meV per atom.

a b c (Å): 5.2377 5.2377 5.2377
angles (deg): 90.00 90.00 90.00
With the nearest neighbours (Å) after each atom.
Fractional positions:
Bi1 0.0000 0.5000 0.0000  2 V 2.62
Bi2 0.0000 0.0000 0.5000  2 V 2.62
Bi3 0.5000 0.0000 0.0000  2 V 2.62
Cu1 0.5000 0.5000 0.5000  12 Bi 3.70
V1 0.0000 0.0000 0.0000  6 Bi 2.62

=====

(4)
Computed, not measured: an optimized crystal structure of Mg2SnP at the PBE level of DFT.

Computed properties:
The value obtained for the calculated total energy is -3.14 eV per atom. Its space-group type is Fm-3m, No. 225. As for the total magnetic moment: 0.0 μB/cell. As for the formation energy: 0.01 eV/atom. As for the energy above the most stable polymorph in this dataset: 278 meV per atom.

a b c (Å): 4.9057 4.9057 4.9057
angles (deg): 60.00 60.00 60.00
With the nearest neighbours (Å) after each atom.
Fractional positions:
P1 0.0000 0.0000 0.0000  8 Mg 3.00
Mg1 0.2500 0.2500 0.2500  4 Sn 3.00, 4 P 3.00
Mg2 0.7500 0.7500 0.7500  4 Sn 3.00, 4 P 3.00
Sn1 0.5000 0.5000 0.5000  8 Mg 3.00

=====

(5)
Computed, not measured: an optimized crystal structure of NaUSi2Pt4 at the PBE level of DFT.

Computed properties:
The value obtained for the calculated total energy is -6.51 eV per atom. Its space-group type is P4/mmm, No. 123. As for the total magnetic moment: 2.4 μB/cell. The formation energy from raw total energies is -0.554 eV per atom.

a b c (Å): 4.1299 4.1299 8.9239
angles (deg): 90.00 90.00 90.00
With the nearest neighbours (Å) after each atom.
Fractional positions:
Na1 0.0000 0.0000 0.5000  8 Si 3.15, 8 Pt 3.19
U1 0.0000 0.0000 0.0000  8 Pt 2.90
Si1 0.5000 0.5000 0.3680  1 Si 2.36, 4 Pt 2.41
Si2 0.5000 0.5000 0.6320  1 Si 2.36, 4 Pt 2.41
Pt1 0.0000 0.5000 0.2278  2 Si 2.41
Pt2 0.5000 0.0000 0.7722  2 Si 2.41
Pt3 0.5000 0.0000 0.2278  2 Si 2.41
Pt4 0.0000 0.5000 0.7722  2 Si 2.41

=====

(6)
Computed, not measured: an optimized crystal structure of RbIn2 at the PBE level of DFT.

Computed properties:
The value obtained for the calculated total energy is -2.18 eV per atom. Its space-group type is I4/mmm, No. 139. As for the total magnetic moment: 0.0 μB/cell. As for the formation energy: -0.03 eV/atom. As for the energy above the most stable polymorph in this dataset: 74 meV per atom.

a b c (Å): 3.9407 3.9407 7.5586
angles (deg): 105.11 105.11 90.00
With the nearest neighbours (Å) after each atom.
Fractional positions:
Rb1 0.0000 0.0000 0.0000  10 In 3.91-4.28, 4 Rb 3.94
In1 0.6955 0.6955 0.3909  4 In 3.18
In2 0.3045 0.3045 0.6091  4 In 3.18

=====

(7)
Computed, not measured: an optimized crystal structure of Nd2Y2Te2Se3 at the PBE level of DFT.

Computed properties:
The value obtained for the calculated total energy is -5.80 eV per atom. Its space-group type is I4/mmm, No. 139. As for the total magnetic moment: 0.0 μB/cell. The formation energy from raw total energies is -1.447 eV per atom.

a b c (Å): 5.6329 5.6329 8.9597
angles (deg): 108.32 108.32 90.00
With the nearest neighbours (Å) after each atom.
Fractional positions:
Nd1 0.1939 0.1939 0.3877  5 Se 2.96-3.11, 1 Te 3.23
Nd2 0.8061 0.8061 0.6123  5 Se 2.96-3.11, 1 Te 3.23
Y1 0.5000 0.0000 0.0000  2 Se 2.82
Y2 0.0000 0.5000 0.0000  2 Se 2.82
Te1 0.6051 0.6051 0.2103  1 Nd 3.23, 4 Y 3.28, 1 Te 3.38
Te2 0.3949 0.3949 0.7897  1 Nd 3.23, 4 Y 3.28, 1 Te 3.38
Se1 0.0000 0.0000 0.0000  4 Y 2.82, 2 Nd 3.11
Se2 0.2500 0.7500 0.5000  4 Nd 2.96
Se3 0.7500 0.2500 0.5000  4 Nd 2.96

=====

(8)
Computed, not measured: an optimized crystal structure of FeTc2Ru at the PBE level of DFT.

Computed properties:
The value obtained for the calculated total energy is -9.43 eV per atom. Its space-group type is Immm, No. 71. As for the total magnetic moment: 3.0 μB/cell. As for the formation energy: 0.18 eV/atom. As for the energy above the most stable polymorph in this dataset: 178 meV per atom.

a b c (Å): 5.0492 5.0492 5.0492
angles (deg): 144.87 130.76 61.92
With the nearest neighbours (Å) after each atom.
Fractional positions:
Fe1 0.7500 0.2500 0.5000  4 Tc 2.53, 4 Ru 2.60
Ru1 0.2500 0.7500 0.5000  4 Fe 2.60, 4 Tc 2.76
Tc1 0.9837 0.9837 0.0000  2 Fe 2.53, 4 Tc 2.61, 2 Ru 2.76
Tc2 0.5163 0.5163 0.0000  2 Fe 2.53, 4 Tc 2.61, 2 Ru 2.76

=====

(9)
Computed, not measured: an optimized crystal structure of Tl2RhAu at the PBE level of DFT.

Computed properties:
The value obtained for the calculated total energy is -3.62 eV per atom. Its space-group type is I4/mmm, No. 139. As for the total magnetic moment: 0.0 μB/cell. As for the formation energy: 0.22 eV/atom.

a b c (Å): 5.2613 5.2613 5.2613
angles (deg): 130.96 130.96 71.88
With the nearest neighbours (Å) after each atom.
Fractional positions:
Tl1 0.7500 0.2500 0.5000  4 Au 3.05, 4 Rh 3.05, 4 Tl 3.09
Tl2 0.2500 0.7500 0.5000  4 Rh 3.05, 4 Au 3.05, 4 Tl 3.09
Rh1 0.0000 0.0000 0.0000  8 Tl 3.05, 4 Au 3.09
Au1 0.5000 0.5000 0.0000  8 Tl 3.05, 4 Rh 3.09

=====

(10)
Computed, not measured: an optimized crystal structure of LiTi2Cl8 at the PBE level of DFT.

Computed properties:
The value obtained for the calculated total energy is -4.50 eV per atom. Its space-group type is P-3m1, No. 164. As for the total magnetic moment: 1.0 μB/cell. The formation energy from raw total energies is -1.547 eV per atom. As for the energy above the most stable polymorph in this dataset: 22 meV per atom.

a b c (Å): 8.0237 7.3180 7.3187
angles (deg): 120.00 90.00 90.00
With the nearest neighbours (Å) after each atom.
Fractional positions:
Li1 0.0000 0.0000 0.0000  6 Cl 2.63
Ti1 0.2859 0.3334 0.6667  4 Cl 2.20-2.24
Ti2 0.7141 0.6666 0.3332  4 Cl 2.20-2.24
Cl1 0.4397 0.6668 0.3335  1 Ti 2.20
Cl2 0.5603 0.3332 0.6665  1 Ti 2.20
Cl3 0.8053 0.8333 0.1663  1 Ti 2.24
Cl4 0.1945 0.1666 0.3333  1 Ti 2.24
Cl5 0.1948 0.6670 0.8336  1 Ti 2.24
Cl6 0.1947 0.1667 0.8337  1 Ti 2.24
Cl7 0.8055 0.8334 0.6667  1 Ti 2.24
Cl8 0.8052 0.3330 0.1664  1 Ti 2.24

=====

(11)
Computed, not measured: an optimized crystal structure of CrFe2Ni7 at the PBE level of DFT.

Computed properties:
The value obtained for the calculated total energy is -6.27 eV per atom. Its space-group type is Cmmm, No. 65. As for the total magnetic moment: 6.8 μB/cell. As for the formation energy: 0.43 eV/atom.

a b c (Å): 2.4443 7.8943 7.8943
angles (deg): 122.64 90.00 90.00
With the nearest neighbours (Å) after each atom.
Fractional positions:
Cr1 0.0000 0.0000 0.0000  2 Cr 2.44, 10 Ni 2.47
Fe1 0.5000 0.6742 0.3258  5 Ni 2.35-2.41, 2 Fe 2.44
Fe2 0.5000 0.3258 0.6742  5 Ni 2.35-2.41, 2 Fe 2.44
Ni1 0.0000 0.8214 0.1786  2 Fe 2.38, 6 Ni 2.44, 1 Cr 2.47
Ni2 0.0000 0.1786 0.8214  2 Fe 2.38, 6 Ni 2.44, 1 Cr 2.47
Ni3 0.5000 0.1380 0.3202  1 Fe 2.35, 6 Ni 2.41-2.52, 2 Cr 2.47
Ni4 0.5000 0.8620 0.6798  1 Fe 2.35, 6 Ni 2.41-2.52, 2 Cr 2.47
Ni5 0.5000 0.3202 0.1380  1 Fe 2.35, 6 Ni 2.41-2.52, 2 Cr 2.47
Ni6 0.5000 0.6798 0.8620  1 Fe 2.35, 6 Ni 2.41-2.52, 2 Cr 2.47
Ni7 0.5000 0.5000 0.5000  6 Ni 2.41-2.44, 2 Fe 2.41

=====

(12)
Computed, not measured: an optimized crystal structure of Ac2Ho5Tm12 at the PBE level of DFT.

Computed properties:
The value obtained for the calculated total energy is -4.15 eV per atom. Its space-group type is C2/m, No. 12. As for the total magnetic moment: 0.0 μB/cell. As for the formation energy: 0.31 eV/atom.

a b c (Å): 6.8219 9.2060 13.9700
angles (deg): 124.56 90.00 111.75
With the nearest neighbours (Å) after each atom.
Fractional positions:
Ac1 0.7521 0.0000 0.0000  2 Ac 3.38-3.44, 2 Ho 3.49, 2 Tm 3.61
Ac2 0.2479 0.0000 0.0000  2 Ac 3.38-3.44, 2 Ho 3.49, 2 Tm 3.61
Ho1 0.3836 0.7672 0.7274  7 Tm 3.33-3.56, 2 Ac 3.49
Ho2 0.3292 0.6584 0.0535  5 Tm 3.40-3.48
Ho3 0.0000 0.0000 0.5000  4 Tm 3.20
Ho4 0.6708 0.3416 0.9465  5 Tm 3.40-3.48
Ho5 0.6164 0.2328 0.2726  7 Tm 3.33-3.56, 2 Ac 3.49
Tm1 0.9544 0.9087 0.2120  4 Ho 3.60-3.92, 6 Tm 3.62-3.96, 2 Ac 3.88
Tm2 0.9920 0.4683 0.7877  4 Tm 3.15-3.52, 2 Ho 3.43-3.48
Tm3 0.4763 0.4683 0.7877  4 Tm 3.15-3.52, 2 Ho 3.43-3.48
Tm4 0.0892 0.6766 0.4929  5 Tm 3.15-3.42, 2 Ho 3.20-3.33
Tm5 0.5874 0.6766 0.4929  5 Tm 3.15-3.42, 2 Ho 3.20-3.33
Tm6 0.5415 0.0831 0.6414  5 Tm 3.15-3.28, 1 Ho 3.40
Tm7 0.4585 0.9169 0.3586  5 Tm 3.15-3.28, 1 Ho 3.40
Tm8 0.9108 0.3234 0.5071  5 Tm 3.15-3.42, 2 Ho 3.20-3.33
Tm9 0.4126 0.3234 0.5071  5 Tm 3.15-3.42, 2 Ho 3.20-3.33
Tm10 0.0080 0.5317 0.2123  4 Tm 3.15-3.52, 2 Ho 3.43-3.48
Tm11 0.5237 0.5317 0.2123  4 Tm 3.15-3.52, 2 Ho 3.43-3.48
Tm12 0.0456 0.0913 0.7880  4 Ho 3.60-3.92, 6 Tm 3.62-3.96, 2 Ac 3.88